Entry 1:
The following is a DFT calculation (PBE) of crystalline GaTe2IN at its relaxed geometry.

Summary:
As for the crystal system: tetragonal. Its relative energy among the computed polymorphs is 0 meV/atom.

Cell lengths 6.0022, 6.0022, 3.5435 Å; angles 90.00, 90.00, 90.00 degrees
Closest atoms and distances in Å follow each position.
Positions (direct):
1 I 0.5000 0.5000 0.5000  8 Te 3.49, 2 I 3.54
2 Te 0.0000 0.5000 0.0000  2 Ga 3.00
3 Te 0.5000 0.0000 0.0000  2 Ga 3.00
4 Ga 0.0000 0.0000 0.0000  2 N 1.77
5 N 0.0000 0.0000 0.5000  2 Ga 1.77

---

Entry 2:
The following is a DFT calculation (PBE) of crystalline TiGaIN2 at its relaxed geometry.

Summary:
As for the crystal system: tetragonal. Its relative energy among the computed polymorphs is 882 meV/atom.

Cell lengths 3.9133, 3.9133, 5.5931 Å; angles 90.00, 90.00, 90.00 degrees
Closest atoms and distances in Å follow each position.
Positions (direct):
1 I 0.0000 0.0000 0.5000  4 Ti 2.77, 2 Ga 2.80
2 N 0.0000 0.5000 0.0000  2 Ga 1.96
3 N 0.5000 0.0000 0.0000  2 Ga 1.96
4 Ga 0.0000 0.0000 0.0000  4 N 1.96
5 Ti 0.5000 0.5000 0.5000  4 I 2.77

---

Entry 3:
The following is a DFT calculation (PBE) of crystalline Ti2GaIN at its relaxed geometry.

Summary:
As for the crystal system: tetragonal.

Cell lengths 4.1584, 5.4515, 4.1584 Å; angles 90.00, 90.00, 90.00 degrees
Closest atoms and distances in Å follow each position.
Positions (direct):
1 I 0.5000 0.5000 0.5000  4 Ga 2.94
2 N 0.0000 0.0000 0.0000  4 Ti 2.08
3 Ga 0.0000 0.5000 0.0000  2 N 2.73, 4 I 2.94
4 Ti 0.0000 0.0000 0.5000  2 N 2.08
5 Ti 0.5000 0.0000 0.0000  2 N 2.08

---

Entry 4:
The following is a DFT calculation (PBE) of crystalline TiGaIN2 at its relaxed geometry.

Summary:
As for the crystal system: tetragonal. Its relative energy among the computed polymorphs is 0 meV/atom.

Cell lengths 4.0217, 4.0217, 5.8497 Å; angles 90.00, 90.00, 90.00 degrees
Closest atoms and distances in Å follow each position.
Positions (direct):
1 I 0.0000 0.0000 0.5000  4 Ga 2.84, 2 Ti 2.92
2 N 0.0000 0.5000 0.0000  2 Ti 2.01
3 N 0.5000 0.0000 0.0000  2 Ti 2.01
4 Ga 0.5000 0.5000 0.5000  4 I 2.84
5 Ti 0.0000 0.0000 0.0000  4 N 2.01

---

Entry 5:
The following is a DFT calculation (PBE) of crystalline TlGaI2N at its relaxed geometry.

Summary:
As for the crystal system: tetragonal. Its relative energy among the computed polymorphs is 462 meV/atom.

Cell lengths 6.3080, 6.3080, 4.3241 Å; angles 90.00, 90.00, 90.00 degrees
Closest atoms and distances in Å follow each position.
Positions (direct):
1 I 0.0000 0.5000 0.0000  2 Tl 3.15
2 I 0.5000 0.0000 0.0000  2 Tl 3.15
3 Tl 0.0000 0.0000 0.0000  2 N 2.16
4 Ga 0.5000 0.5000 0.5000  8 I 3.82
5 N 0.0000 0.0000 0.5000  2 Tl 2.16

---

Entry 6:
The following is a DFT calculation (PBE) of crystalline TlGaIN2 at its relaxed geometry.

Summary:
As for the crystal system: tetragonal. Its relative energy among the computed polymorphs is 343 meV/atom.

Cell lengths 4.5799, 4.5799, 6.5742 Å; angles 90.00, 90.00, 90.00 degrees
Closest atoms and distances in Å follow each position.
Positions (direct):
1 I 0.0000 0.0000 0.5000  4 Ga 3.24, 2 Tl 3.29
2 Tl 0.0000 0.0000 0.0000  4 N 2.29
3 Ga 0.5000 0.5000 0.5000  4 I 3.24
4 N 0.0000 0.5000 0.0000  2 Tl 2.29
5 N 0.5000 0.0000 0.0000  2 Tl 2.29

---

Entry 7:
The following is a DFT calculation (PBE) of crystalline TlGaIN2 at its relaxed geometry.

Summary:
As for the crystal system: tetragonal. Its relative energy among the computed polymorphs is 0 meV/atom.

Cell lengths 4.3320, 4.3320, 5.8811 Å; angles 90.00, 90.00, 90.00 degrees
Closest atoms and distances in Å follow each position.
Positions (direct):
1 I 0.0000 0.0000 0.5000  2 Ga 2.94, 4 Tl 3.06
2 Tl 0.5000 0.5000 0.5000  4 I 3.06
3 Ga 0.0000 0.0000 0.0000  4 N 2.17
4 N 0.0000 0.5000 0.0000  2 Ga 2.17
5 N 0.5000 0.0000 0.0000  2 Ga 2.17

---

Entry 8:
The following is a DFT calculation (PBE) of crystalline TlGaI2N at its relaxed geometry.

Summary:
As for the crystal system: tetragonal. Its relative energy among the computed polymorphs is 0 meV/atom.

Cell lengths 6.4231, 6.4231, 3.5428 Å; angles 90.00, 90.00, 90.00 degrees
Closest atoms and distances in Å follow each position.
Positions (direct):
1 I 0.0000 0.5000 0.0000  2 Ga 3.21, 2 I 3.54
2 I 0.5000 0.0000 0.0000  2 Ga 3.21, 2 I 3.54
3 Tl 0.5000 0.5000 0.5000  2 Tl 3.54, 8 I 3.67
4 Ga 0.0000 0.0000 0.0000  2 N 1.77
5 N 0.0000 0.0000 0.5000  2 Ga 1.77

---

E_form (uncorrected) per entry: 0.68; 1.24; 0.02; 0.36; 0.64; 1.54; 1.20; 0.18 eV per atom